Compound: ScNiS2Cl
Source: Alexandria
Functional: PBE
Structure: optimized geometry

Relative energy among the computed polymorphs   272 meV/atom
Energy relative to the elements, uncorrected   -1.3 eV per formula unit
Density of states at the Fermi level   7.368 states/eV/f.u.
DFT total energy   -4.699 eV/atom

abc: 4.951 4.951 4.830
angles: 90.00 90.00 90.00
Fractional positions:
Sc 0.000 0.000 0.000
Ni 0.500 0.500 0.500
S 0.000 0.500 0.000
S 0.500 0.000 0.000
Cl 0.000 0.000 0.500